[1]
NiHgH2: relaxed, PBE.

The space group is I-42d (No. 122) and the conventional cell measures 4.593, 4.593 and 8.299 Å, with angles of 90.00, 90.00 and 90.00 degrees. The inequivalent atoms are Ni at (0.000, 0.000, 0.000), Hg at (0.000, 0.000, 0.500) and H at (0.071, 0.250, 0.125).

For the magnetization, the calculation gives 0.00 Bohr magnetons per cell. Its calculated total energy is -0.1075 Ha/atom. As for the polymorph energy (0 for the lowest one): 0.46 eV per formula unit. For the density of states at the Fermi level, the calculation gives 4.5 states/eV/cell.



[2]
Ni2HgH: relaxed, PBE.

The space group is Fm-3m (No. 225) and the conventional cell measures 5.887, 5.887 and 5.887 Å, with angles of 90.00, 90.00 and 90.00 degrees. The inequivalent atoms are Ni at (0.250, 0.250, 0.250), Hg at (0.000, 0.000, 0.000) and H at (0.000, 0.000, 0.500).

For the magnetization, the calculation gives 0.00 Bohr magnetons per cell. Its calculated total energy is -0.1131 Ha/atom. As for the polymorph energy (0 for the lowest one): 2.43 eV per formula unit. For the density of states at the Fermi level, the calculation gives 5.9 states/eV/cell.



[3]
NiHgH3: relaxed, PBE.

The space group is Pm-3m (No. 221) and the conventional cell measures 3.751, 3.751 and 3.751 Å, with angles of 90.00, 90.00 and 90.00 degrees. The inequivalent atoms are Ni at (0.000, 0.000, 0.000), Hg at (0.500, 0.500, 0.500) and H at (0.000, 0.500, 0.500).

For the magnetization, the calculation gives 0.32 Bohr magnetons per cell. Its calculated total energy is -0.0822 Ha/atom. As for the polymorph energy (0 for the lowest one): 2.89 eV per formula unit. For the density of states at the Fermi level, the calculation gives 3.2 states/eV/cell.



[4]
NiHgH: relaxed, PBE.

The space group is P-6m2 (No. 187) and the conventional cell measures 2.9785, 2.9785 and 4.5925 Å, with angles of 90.00, 90.00 and 120.00 degrees. The inequivalent atoms are Ni at (0.0000, 0.0000, 0.0000), Hg at (0.3333, 0.6667, 0.5000) and H at (0.6667, 0.3333, 0.0000).

For the magnetization, the calculation gives 0.00 Bohr magnetons per cell. Its calculated total energy is -0.1103 Ha/atom. As for the polymorph energy (0 for the lowest one): 0.24 eV per formula unit. For the density of states at the Fermi level, the calculation gives 0.8 states/eV/cell.



[5]
Ni2HgH: relaxed, PBE.

The space group is R-3m (No. 166, hexagonal axes) and the conventional cell measures 2.8808, 2.8808 and 18.9100 Å, with angles of 90.00, 90.00 and 120.00 degrees. The inequivalent atoms are Ni at (0.0000, 0.0000, 0.2168), Hg at (0.0000, 0.0000, 0.0000) and H at (0.0000, 0.0000, 0.5000).

For the magnetization, the calculation gives 0.00 Bohr magnetons per cell. Its calculated total energy is -0.1332 Ha/atom. As for the polymorph energy (0 for the lowest one): 0.24 eV per formula unit. For the density of states at the Fermi level, the calculation gives 9.4 states/eV/cell.



[6]
NiHgH2: relaxed, PBE.

The space group is Fm-3m (No. 225) and the conventional cell measures 5.393, 5.393 and 5.393 Å, with angles of 90.00, 90.00 and 90.00 degrees. The inequivalent atoms are Ni at (0.000, 0.000, 0.000), Hg at (0.000, 0.000, 0.500) and H at (0.250, 0.250, 0.250).

For the magnetization, the calculation gives 0.00 Bohr magnetons per cell. Its calculated total energy is -0.0890 Ha/atom. As for the polymorph energy (0 for the lowest one): 2.47 eV per formula unit. For the density of states at the Fermi level, the calculation gives 5.0 states/eV/cell.



[7]
NiHgH: relaxed, PBE.

The space group is P2_1/m (No. 11) and the conventional cell measures 3.022, 2.951 and 8.428 Å, with angles of 90.00, 100.25 and 90.00 degrees. The inequivalent atoms are Ni at (0.199, 0.250, 0.399), Hg at (0.416, 0.250, 0.832) and H at (0.252, 0.750, 0.503).

For the magnetization, the calculation gives 0.00 Bohr magnetons per cell. Its calculated total energy is -0.1133 Ha/atom. As for the polymorph energy (0 for the lowest one): 0.00 eV per formula unit. For the density of states at the Fermi level, the calculation gives 1.7 states/eV/cell.



[8]
NiHgH: relaxed, PBE.

The space group is P2_1 (No. 4) and the conventional cell measures 2.839, 4.203 and 7.150 Å, with angles of 90.00, 101.10 and 90.00 degrees. The inequivalent atoms are Ni at (0.246, 0.000, 0.493), Hg at (0.418, 0.362, 0.841) and H at (0.208, 0.366, 0.409).

For the magnetization, the calculation gives 0.00 Bohr magnetons per cell. Its calculated total energy is -0.1131 Ha/atom. As for the polymorph energy (0 for the lowest one): 0.01 eV per formula unit. For the density of states at the Fermi level, the calculation gives 2.7 states/eV/cell.



[9]
NiHgH2: relaxed, PBE.

The space group is R3m (No. 160, hexagonal axes) and the conventional cell measures 2.8142, 2.8142 and 19.6167 Å, with angles of 90.00, 90.00 and 120.00 degrees. The inequivalent atoms are Ni at (0.0000, 0.0000, 0.0000), Hg at (0.0000, 0.0000, 0.8314), H at (0.0000, 0.0000, 0.3651) and H at (0.0000, 0.0000, 0.6340).

For the magnetization, the calculation gives 0.00 Bohr magnetons per cell. Its calculated total energy is -0.1117 Ha/atom. As for the polymorph energy (0 for the lowest one): 0.00 eV per formula unit. For the density of states at the Fermi level, the calculation gives 3.0 states/eV/cell.



[10]
NiHgH: relaxed, PBE.

The space group is C2/m (No. 12) and the conventional cell measures 9.030, 5.020 and 3.681 Å, with angles of 90.00, 113.52 and 90.00 degrees. The inequivalent atoms are Ni at (0.000, 0.249, 0.000), Hg at (0.196, 0.500, 0.695) and H at (0.000, 0.000, 0.268).

For the magnetization, the calculation gives 0.00 Bohr magnetons per cell. Its calculated total energy is -0.1101 Ha/atom. As for the polymorph energy (0 for the lowest one): 0.25 eV per formula unit. For the density of states at the Fermi level, the calculation gives 4.4 states/eV/cell.



[11]
NiHgH: relaxed, PBE.

The space group is Pmn2_1 (No. 31) and the conventional cell measures 2.800, 6.895 and 4.260 Å, with angles of 90.00, 90.00 and 90.00 degrees. The inequivalent atoms are Ni at (0.000, 0.007, 0.000), Hg at (0.000, 0.653, 0.644) and H at (0.000, 0.094, 0.641).

For the magnetization, the calculation gives 0.00 Bohr magnetons per cell. Its calculated total energy is -0.1130 Ha/atom. As for the polymorph energy (0 for the lowest one): 0.02 eV per formula unit. For the density of states at the Fermi level, the calculation gives 2.7 states/eV/cell.



[12]
Ni4HgH2: relaxed, PBE.

The space group is I4/mmm (No. 139) and the conventional cell measures 4.706, 4.706 and 8.934 Å, with angles of 90.00, 90.00 and 90.00 degrees. The inequivalent atoms are Ni at (0.000, 0.000, 0.219), Ni at (0.000, 0.500, 0.000), Hg at (0.000, 0.000, 0.500) and H at (0.000, 0.000, 0.056).

For the magnetization, the calculation gives 1.37 Bohr magnetons per cell. Its calculated total energy is -0.1183 Ha/atom. For the density of states at the Fermi level, the calculation gives 19.3 states/eV/cell.